VASP calculation (PBEsol) on a geometry-optimized ScPRu2 structure.

Values from the calculation:
* energy of formation: -0.41 eV/atom
* M_tot: 0.0 μB per formula unit
* energy: -34.36 eV/cell
* theoretical density: 8168 kg/m³

```
ScPRu2
1.0
2.9049 0.0000 0.0000
0.0000 3.9389 0.0000
0.0000 0.0000 4.9407
Sc P Ru
1 1 2
direct
0.0000 0.0000 0.0000
0.5000 0.5000 0.2718
0.0000 0.0000 0.4875
0.5000 0.5000 0.7410
```


VASP calculation (PBEsol) on a geometry-optimized TaZnAu structure.

Values from the calculation:
* energy of formation: -0.13 eV/atom
* M_tot: 0.0 μB per formula unit
* energy: -18.43 eV/cell
* theoretical density: 15496 kg/m³

```
TaZnAu
1.0
0.0000 2.0491 5.6687
2.0449 0.0000 5.6687
2.0449 2.0491 0.0000
Ta Zn Au
1 1 1
direct
0.0000 0.0000 0.0000
0.6622 0.6622 0.3378
0.3208 0.3208 0.6792
```


VASP calculation (PBEsol) on a geometry-optimized LiZnCdFe2 structure.

Values from the calculation:
* energy of formation: 0.86 eV/atom
* M_tot: 4.8 μB per formula unit
* energy: -18.35 eV/cell
* theoretical density: 6959 kg/m³

```
LiZnCdFe2
1.0
4.0872 0.0000 0.0000
0.0000 4.0872 0.0000
0.0000 0.0000 4.2348
Li Zn Cd Fe
1 1 1 2
direct
0.0000 0.0000 0.0000
0.0000 0.0000 0.5000
0.5000 0.5000 0.5000
0.0000 0.5000 0.0000
0.5000 0.0000 0.0000
```


VASP calculation (PBEsol) on a geometry-optimized KGa2Hg2 structure.

Values from the calculation:
* energy of formation: -0.12 eV/atom
* M_tot: 0.0 μB per formula unit
* energy: -9.56 eV/cell
* theoretical density: 7801 kg/m³

```
KGa2Hg2
1.0
-2.2769 2.2769 5.9502
2.2769 -2.2769 5.9502
2.2769 2.2769 -5.9502
K Ga Hg
1 2 2
direct
0.0000 0.0000 0.0000
0.2500 0.7500 0.5000
0.7500 0.2500 0.5000
0.3797 0.3797 0.0000
0.6203 0.6203 0.0000
```


VASP calculation (PBEsol) on a geometry-optimized Li2LaMg structure.

Values from the calculation:
* energy of formation: 0.08 eV/atom
* M_tot: 0.0 μB per formula unit
* energy: -10.67 eV/cell
* theoretical density: 3030 kg/m³

```
Li2LaMg
1.0
-1.7053 2.7549 5.1637
1.7053 -2.7549 5.1637
1.7053 2.7549 -5.1637
Li La Mg
2 1 1
direct
0.0000 0.0000 0.0000
0.7933 0.2933 0.5000
0.5157 0.5157 0.0000
0.2301 0.7301 0.5000
```


VASP calculation (PBEsol) on a geometry-optimized ScRuSCl2 structure.

Values from the calculation:
* M_tot: 3.1 μB per formula unit
* raw formation energy: -0.17 eV/atom
* energy: -26.03 eV/cell
* theoretical density: 3631 kg/m³

```
ScRuSCl2
1.0
4.8021 0.0000 0.0000
0.0000 4.8021 0.0000
0.0000 0.0000 4.9378
Sc Ru S Cl
1 1 1 2
direct
0.0000 0.0000 0.0000
0.5000 0.5000 0.5000
0.0000 0.0000 0.5000
0.0000 0.5000 0.0000
0.5000 0.0000 0.0000
```


VASP calculation (PBEsol) on a geometry-optimized K2NbMo structure.

Values from the calculation:
* energy of formation: 2.52 eV/atom
* M_tot: 9.6 μB per formula unit
* energy: -14.76 eV/cell
* theoretical density: 3223 kg/m³

```
K2NbMo
1.0
0.0000 4.0976 4.0976
4.0976 0.0000 4.0976
4.0976 4.0976 0.0000
K Nb Mo
2 1 1
direct
0.2500 0.2500 0.2500
0.7500 0.7500 0.7500
0.0000 0.0000 0.0000
0.5000 0.5000 0.5000
```


VASP calculation (PBEsol) on a geometry-optimized Na2Ti2O5 structure.

Values from the calculation:
* M_tot: 0.0 μB per formula unit
* raw formation energy: -2.63 eV/atom
* energy: -69.32 eV/cell
* theoretical density: 3026 kg/m³

```
Na2Ti2O5
1.0
5.8376 -1.8288 0.0000
5.8376 1.8288 0.0000
-0.9104 0.0000 5.6984
Na Ti O
2 2 5
direct
0.1018 0.1018 0.3535
0.8982 0.8982 0.6465
0.3540 0.3540 0.1016
0.6460 0.6460 0.8984
0.1783 0.1783 0.0066
0.3737 0.3737 0.4029
0.5000 0.5000 0.0000
0.6263 0.6263 0.5971
0.8217 0.8217 0.9934
```


VASP calculation (PBEsol) on a geometry-optimized Pr2S3 structure.

Values from the calculation:
* M_tot: 0.0 μB per formula unit
* raw formation energy: -2.11 eV/atom
* energy: -272.43 eV/cell
* theoretical density: 5418 kg/m³

```
Pr2S3
1.0
-4.2615 4.2615 12.7593
4.2615 -4.2615 12.7593
4.2615 4.2615 -12.7593
Pr S
16 24
direct
0.0467 0.4259 0.8935
0.1660 0.1660 0.0000
0.1759 0.2967 0.3935
0.2176 0.8241 0.1208
0.2552 0.1250 0.6302
0.3750 0.7448 0.8698
0.4948 0.6250 0.3698
0.5324 0.1532 0.1065
0.5741 0.4676 0.6208
0.5840 0.0840 0.5000
0.7033 0.0968 0.8792
0.8340 0.8340 0.0000
0.8468 0.9533 0.3792
0.8750 0.5052 0.1302
0.9032 0.7824 0.6065
0.9160 0.4160 0.5000
0.0074 0.1052 0.2477
0.0710 0.8252 0.6035
0.1748 0.7783 0.2458
0.1843 0.0972 0.7505
0.1838 0.5967 0.7495
0.2175 0.4717 0.8965
0.2217 0.4675 0.3965
0.2403 0.9926 0.0978
0.3467 0.4338 0.2495
0.4033 0.1528 0.5871
0.5097 0.1075 0.2523
0.5283 0.4248 0.7458
0.5325 0.9290 0.7542
0.5657 0.8162 0.4129
0.5662 0.8157 0.9129
0.5752 0.3210 0.1035
0.6790 0.7825 0.2542
0.7426 0.4903 0.5978
0.8472 0.4343 0.2505
0.8552 0.2574 0.7477
0.8575 0.7597 0.7523
0.8925 0.1448 0.4022
0.8948 0.1425 0.9022
0.9028 0.6533 0.0871
```


VASP calculation (PBEsol) on a geometry-optimized B8O structure.

Values from the calculation:
* offset from the most stable computed form: 0.5 meV/atom
* M_tot: 0.0 μB per formula unit
* raw formation energy: -0.55 eV/atom
* energy: -199.11 eV/cell
* theoretical density: 2577 kg/m³

```
B8O
1.0
5.1148 0.0000 0.0000
0.0000 5.2924 0.0000
-0.3010 0.0000 7.3191
B O
24 3
direct
0.0000 0.0000 0.0000
0.0021 0.2607 0.8445
0.0021 0.7393 0.8445
0.2721 0.0000 0.5798
0.2865 0.2630 0.7212
0.2865 0.7370 0.7212
0.3065 0.1655 0.9541
0.3065 0.8345 0.9541
0.3226 0.5000 0.2780
0.4770 0.0000 0.7852
0.4861 0.3307 0.1103
0.4861 0.6693 0.1103
0.5175 0.2346 0.3387
0.5175 0.7654 0.3387
0.5331 0.5000 0.4806
0.7740 0.5000 0.0752
0.7990 0.2175 0.2054
0.7990 0.7825 0.2054
0.8065 0.0000 0.7832
0.8268 0.3300 0.4413
0.8268 0.6700 0.4413
0.9796 0.1663 0.6133
0.9796 0.8337 0.6133
0.9929 0.5000 0.2732
0.3953 0.0000 0.4011
0.4092 0.5000 0.6610
0.8855 0.5000 0.8967
```